1.
Compound: BaZr2Hg
Source: Alexandria via LeMat-Bulk
Functional: GGA-PBEsol
Structure: relaxed

The structure belongs to space group P4mm (No. 99); the cell edges are 3.402, 3.402 and 9.335 Å and the angles 90.00°, 90.00° and 90.00°. The distinct sites, in fractional coordinates, are Ba at (0.000, 0.000, 0.000), Zr at (0.000, 0.000, 0.461), Zr at (0.500, 0.500, 0.667) and Hg at (0.500, 0.500, 0.269).

The calculation puts the calculated total energy at -5.235 eV per atom. The value obtained for the total moment is 0.000 μB/f.u.



2.
Compound: Ba3HoIrRuO9
Source: Alexandria via LeMat-Bulk
Functional: GGA-PBEsol
Structure: relaxed

The structure belongs to space group P6_3mc (No. 186); the cell edges are 5.8495, 5.8495 and 14.4466 Å and the angles 90.00°, 90.00° and 120.00°. The distinct sites, in fractional coordinates, are Ba at (0.0000, 0.0000, 0.0000), Ba at (0.3333, 0.6667, 0.1561), Ba at (0.3333, 0.6667, 0.8412), Ho at (0.0000, 0.0000, 0.2496), Ir at (0.3333, 0.6667, 0.5854), Ru at (0.3333, 0.6667, 0.4132), O at (0.0186, 0.5093, 0.4987), O at (0.1758, 0.3516, 0.6644) and O at (0.1765, 0.3529, 0.3379).

The calculation puts the calculated total energy at -7.476 eV per atom. The value obtained for the total moment is 1.387 μB/f.u. The value obtained for the formation energy without anion corrections is -2.233 eV/atom.



3.
Compound: Ba3Ho2MoO9
Source: Alexandria via LeMat-Bulk
Functional: GGA-PBEsol
Structure: relaxed

The structure belongs to space group C2/c (No. 15); the cell edges are 10.397, 5.941 and 14.646 Å and the angles 90.00°, 90.61° and 90.00°. The distinct sites, in fractional coordinates, are Ba at (0.000, 0.001, 0.250), Ba at (0.166, 0.500, 0.413), Ho at (0.168, 0.498, 0.667), Mo at (0.000, 0.000, 0.000), O at (0.000, 0.491, 0.250), O at (0.067, 0.260, 0.563), O at (0.088, 0.197, 0.084), O at (0.151, 0.001, 0.924) and O at (0.232, 0.199, 0.735).

The calculation puts the calculated total energy at -8.001 eV per atom. The value obtained for the total moment is 0.000 μB/f.u. The value obtained for the formation energy without anion corrections is -2.978 eV/atom.



4.
Compound: BaHo2NiO5
Source: Alexandria via LeMat-Bulk
Functional: GGA-PBEsol
Structure: relaxed

The structure belongs to space group Immm (No. 71); the cell edges are 3.708, 5.689 and 11.203 Å and the angles 90.00°, 90.00° and 90.00°. The distinct sites, in fractional coordinates, are Ba at (0.000, 0.000, 0.000), Ho at (0.000, 0.500, 0.202), Ni at (0.000, 0.000, 0.500), O at (0.000, 0.239, 0.350) and O at (0.000, 0.500, 0.000).

The calculation puts the calculated total energy at -7.695 eV per atom. The value obtained for the total moment is 1.176 μB/f.u. The value obtained for the formation energy without anion corrections is -2.756 eV/atom.



5.
Compound: Ba3Ho4O9
Source: Alexandria via LeMat-Bulk
Functional: GGA-PBEsol
Structure: relaxed

The structure belongs to space group R3 (No. 146, hexagonal axes); the cell edges are 6.0415, 6.0415 and 25.1651 Å and the angles 90.00°, 90.00° and 120.00°. The distinct sites, in fractional coordinates, are Ba at (0.0000, 0.0000, 0.0000), Ba at (0.0000, 0.0000, 0.1650), Ba at (0.0000, 0.0000, 0.5880), Ho at (0.0000, 0.0000, 0.3000), Ho at (0.0000, 0.0000, 0.4253), Ho at (0.0000, 0.0000, 0.7393), Ho at (0.0000, 0.0000, 0.8639), O at (0.0016, 0.5603, 0.5823), O at (0.0119, 0.4553, 0.0251) and O at (0.1123, 0.3486, 0.4706).

The calculation puts the calculated total energy at -7.833 eV per atom. The value obtained for the total moment is 0.000 μB/f.u. The value obtained for the formation energy without anion corrections is -3.239 eV/atom.



6.
Compound: BaHo2O4
Source: Alexandria via LeMat-Bulk
Functional: GGA-PBEsol
Structure: relaxed

The structure belongs to space group Pnma (No. 62); the cell edges are 10.315, 3.422 and 11.985 Å and the angles 90.00°, 90.00° and 90.00°. The distinct sites, in fractional coordinates, are Ba at (0.247, 0.250, 0.150), Ho at (0.075, 0.250, 0.389), Ho at (0.077, 0.250, 0.891), O at (0.018, 0.750, 0.782), O at (0.069, 0.250, 0.575), O at (0.115, 0.750, 0.018) and O at (0.210, 0.750, 0.342).

The calculation puts the calculated total energy at -8.081 eV per atom. The value obtained for the total moment is 0.000 μB/f.u. The value obtained for the formation energy without anion corrections is -3.360 eV/atom.



7.
Compound: Ba8Ho3Pt4O18
Source: Alexandria via LeMat-Bulk
Functional: GGA-PBEsol
Structure: relaxed

The structure belongs to space group Pm-3m (No. 221); the cell edges are 8.335, 8.335 and 8.335 Å and the angles 90.00°, 90.00° and 90.00°. The distinct sites, in fractional coordinates, are Ba at (0.238, 0.238, 0.238), Ho at (0.000, 0.000, 0.500), Pt at (0.000, 0.000, 0.000), Pt at (0.000, 0.500, 0.500), O at (0.000, 0.000, 0.239) and O at (0.000, 0.261, 0.500).

The calculation puts the calculated total energy at -7.012 eV per atom. The value obtained for the total moment is 0.925 μB/f.u. The value obtained for the formation energy without anion corrections is -2.334 eV/atom.



8.
Compound: Ba4HoRu3O12
Source: Alexandria via LeMat-Bulk
Functional: GGA-PBEsol
Structure: relaxed

The structure belongs to space group R-3m (No. 166, hexagonal axes); the cell edges are 5.8323, 5.8323 and 29.0304 Å and the angles 90.00°, 90.00° and 120.00°. The distinct sites, in fractional coordinates, are Ba at (0.0000, 0.0000, 0.1289), Ba at (0.0000, 0.0000, 0.2860), Ho at (0.0000, 0.0000, 0.0000), Ru at (0.0000, 0.0000, 0.4135), Ru at (0.0000, 0.0000, 0.5000), O at (0.0179, 0.5090, 0.2899) and O at (0.0227, 0.5113, 0.1243).

The calculation puts the calculated total energy at -7.529 eV per atom. The value obtained for the total moment is 2.698 μB/f.u. The value obtained for the formation energy without anion corrections is -2.177 eV/atom.



9.
Compound: Ba2HoRuO6
Source: Alexandria via LeMat-Bulk
Functional: GGA-PBEsol
Structure: relaxed

The structure belongs to space group Fm-3m (No. 225); the cell edges are 8.296, 8.296 and 8.296 Å and the angles 90.00°, 90.00° and 90.00°. The distinct sites, in fractional coordinates, are Ba at (0.250, 0.250, 0.250), Ho at (0.000, 0.000, 0.000), Ru at (0.000, 0.000, 0.500) and O at (0.000, 0.000, 0.265).

The calculation puts the calculated total energy at -7.598 eV per atom. The value obtained for the total moment is 2.927 μB/f.u. The value obtained for the formation energy without anion corrections is -2.506 eV/atom.



10.
Compound: Ba2HoSbO6
Source: Alexandria via LeMat-Bulk
Functional: GGA-PBEsol
Structure: relaxed

The structure belongs to space group Fm-3m (No. 225); the cell edges are 8.399, 8.399 and 8.399 Å and the angles 90.00°, 90.00° and 90.00°. The distinct sites, in fractional coordinates, are Ba at (0.250, 0.250, 0.250), Ho at (0.000, 0.000, 0.000), Sb at (0.000, 0.000, 0.500) and O at (0.000, 0.000, 0.262).

The calculation puts the calculated total energy at -7.275 eV per atom. The value obtained for the total moment is 0.000 μB/f.u. The value obtained for the formation energy without anion corrections is -2.745 eV/atom.



11.
Compound: Ba5Ho8Zn4O21
Source: Alexandria via LeMat-Bulk
Functional: GGA-PBEsol
Structure: relaxed

The structure belongs to space group I4/m (No. 87); the cell edges are 13.640, 13.640 and 5.657 Å and the angles 90.00°, 90.00° and 90.00°. The distinct sites, in fractional coordinates, are Ba at (0.000, 0.000, 0.000), Ba at (0.036, 0.360, 0.500), Ho at (0.088, 0.857, 0.500), Ho at (0.168, 0.247, 0.000), Zn at (0.040, 0.750, 0.000), O at (0.000, 0.000, 0.500), O at (0.038, 0.371, 0.000), O at (0.048, 0.177, 0.250) and O at (0.148, 0.742, 0.248).

The calculation puts the calculated total energy at -7.335 eV per atom. The value obtained for the total moment is 0.000 μB/f.u. The value obtained for the formation energy without anion corrections is -2.943 eV/atom.



12.
Compound: BaHo2ZnO5
Source: Alexandria via LeMat-Bulk
Functional: GGA-PBEsol
Structure: relaxed

The structure belongs to space group Pnma (No. 62); the cell edges are 12.222, 5.661 and 7.001 Å and the angles 90.00°, 90.00° and 90.00°. The distinct sites, in fractional coordinates, are Ba at (0.101, 0.250, 0.077), Ho at (0.075, 0.750, 0.401), Ho at (0.208, 0.250, 0.620), Zn at (0.151, 0.750, 0.809), O at (0.065, 0.501, 0.665), O at (0.101, 0.750, 0.077) and O at (0.224, 0.000, 0.360).

The calculation puts the calculated total energy at -7.387 eV per atom. The value obtained for the total moment is 0.000 μB/f.u. The value obtained for the formation energy without anion corrections is -2.956 eV/atom.



13.
Compound: BaHo2S4
Source: Alexandria via LeMat-Bulk
Functional: GGA-PBEsol
Structure: relaxed

The structure belongs to space group Pnma (No. 62); the cell edges are 12.074, 3.984 and 14.324 Å and the angles 90.00°, 90.00° and 90.00°. The distinct sites, in fractional coordinates, are Ba at (0.243, 0.250, 0.162), Ho at (0.069, 0.250, 0.392), Ho at (0.078, 0.250, 0.898), S at (0.021, 0.750, 0.782), S at (0.080, 0.250, 0.578), S at (0.125, 0.750, 0.022) and S at (0.208, 0.750, 0.337).

The calculation puts the calculated total energy at -6.404 eV per atom. The value obtained for the total moment is 0.000 μB/f.u. The value obtained for the formation energy without anion corrections is -2.178 eV/atom.



14.
Compound: BaI2
Source: Alexandria via LeMat-Bulk
Functional: GGA-PBEsol
Structure: relaxed

The structure belongs to space group Pnma (No. 62); the cell edges are 8.781, 5.246 and 10.614 Å and the angles 90.00°, 90.00° and 90.00°. The distinct sites, in fractional coordinates, are Ba at (0.248, 0.250, 0.120), I at (0.027, 0.250, 0.832) and I at (0.143, 0.250, 0.430).

The calculation puts the calculated total energy at -3.682 eV per atom. The value obtained for the total moment is 0.000 μB/f.u. The value obtained for the formation energy without anion corrections is -1.787 eV/atom.



15.
Compound: BaI2
Source: Alexandria via LeMat-Bulk
Functional: GGA-PBEsol
Structure: relaxed

The structure belongs to space group P-62m (No. 189); the cell edges are 9.0750, 9.0750 and 5.0998 Å and the angles 90.00°, 90.00° and 120.00°. The distinct sites, in fractional coordinates, are Ba at (0.0000, 0.0000, 0.0000), Ba at (0.3333, 0.6667, 0.5000), I at (0.0000, 0.4066, 0.0000) and I at (0.0000, 0.7430, 0.5000).

The calculation puts the calculated total energy at -3.683 eV per atom. The value obtained for the total moment is 0.000 μB/f.u. The value obtained for the formation energy without anion corrections is -1.789 eV/atom.